Entry from Alexandria via LeMat-Bulk: crystalline PaHgSe2 at its relaxed geometry (PBE).

Electronic total energy, eV/atom: -5.154
Formation energy from raw total energies, kJ/mol of formula units: -372
Mass density, g cm⁻³: 6.1

Lattice parameters (Å, degrees): 11.005 11.005 11.005 21.75 21.75 21.75
Fractional positions:
Pa  0.000  0.000  0.000
Hg  0.500  0.500  0.500
Se  0.382  0.382  0.382
Se  0.618  0.618  0.618


Entry from Alexandria via LeMat-Bulk: crystalline RbYTi2Te at its relaxed geometry (PBE).

Electronic total energy, eV/atom: -4.413
Formation energy from raw total energies, kJ/mol of formula units: 415
Mass density, g cm⁻³: 3.7

Lattice parameters (Å, degrees): 5.447 5.447 5.943 90.00 90.00 90.00
Fractional positions:
Rb  0.000  0.000  0.000
Y  0.500  0.500  0.500
Ti  0.000  0.500  0.500
Ti  0.500  0.000  0.500
Te  0.500  0.500  0.000


no.,M_tot (μB/atom)
1,0.25
2,0.74